Entry 1:
! GGA-PBE KP2Os, relaxed; values from VASP
! energy of formation	20.59	kcal/mol of atoms
! polymorph energy (0 for the lowest one)	1.054	eV per atom
! SG	No. 12
! total energy	-4.8940	eV per atom
&SYSTEM
  ibrav = 0, nat = 4, ntyp = 3
/
ATOMIC_SPECIES
P 30.97 P.upf
K 39.10 K.upf
Os 190.23 Os.upf
CELL_PARAMETERS angstrom
-4.634 4.480 -4.970
0.471 -5.772 1.650
-1.397 -0.632 1.988
ATOMIC_POSITIONS angstrom
P -3.016 1.924 -1.491
P 0.000 0.000 0.000
K -0.463 -3.202 1.819
Os -2.082 -0.646 -1.660

***

Entry 2:
! GGA-PBE YAsIrSe2, relaxed; values from VASP
! E_form (uncorrected)	944.9	meV/atom
! polymorph energy (0 for the lowest one)	1.177	eV per atom
! SG	No. 123
! total energy	-4.4439	eV per atom
&SYSTEM
  ibrav = 0, nat = 5, ntyp = 4
/
ATOMIC_SPECIES
Se 78.96 Se.upf
As 74.92 As.upf
Ir 192.22 Ir.upf
Y 88.91 Y.upf
CELL_PARAMETERS angstrom
5.304 0.000 0.000
0.000 5.304 0.000
0.000 0.000 5.454
ATOMIC_POSITIONS angstrom
Se 0.000 2.652 0.000
Se 2.652 0.000 0.000
As 0.000 0.000 2.727
Ir 2.652 2.652 2.727
Y 0.000 0.000 0.000

***

Entry 3:
! GGA-PBE Tb2Pm2Nd4Y, relaxed; values from VASP
! energy of formation	0.38	kcal/mol of atoms
! SG	No. 12
! total energy	-4.9053	eV per atom
&SYSTEM
  ibrav = 0, nat = 9, ntyp = 4
/
ATOMIC_SPECIES
Nd 144.24 Nd.upf
Y 88.91 Y.upf
Tb 158.93 Tb.upf
Pm 145.00 Pm.upf
CELL_PARAMETERS angstrom
5.152 0.000 0.000
-2.576 7.727 0.019
0.000 -2.604 7.686
ATOMIC_POSITIONS angstrom
Nd 2.576 -0.013 2.553
Nd 0.000 5.137 5.151
Nd 2.576 2.552 5.150
Nd 0.000 2.572 2.554
Y 0.000 0.000 0.000
Tb 2.576 -0.021 7.691
Tb 0.000 5.145 0.014
Pm 0.000 -0.016 5.144
Pm 2.576 5.140 2.560

***

Entry 4:
! GGA-PBE Ti2AsPd2, relaxed; values from VASP
! energy of formation	-9.08	kcal/mol of atoms
! polymorph energy (0 for the lowest one)	0.015	eV per atom
! SG	No. 127
! total energy	-6.5587	eV per atom
&SYSTEM
  ibrav = 0, nat = 10, ntyp = 3
/
ATOMIC_SPECIES
Pd 106.42 Pd.upf
As 74.92 As.upf
Ti 47.87 Ti.upf
CELL_PARAMETERS angstrom
7.170 0.000 0.000
0.000 7.170 0.000
0.000 0.000 3.298
ATOMIC_POSITIONS angstrom
Pd 0.948 4.533 1.649
Pd 4.533 6.223 1.649
Pd 6.223 2.638 1.649
Pd 2.638 0.948 1.649
As 3.585 3.585 0.000
As 0.000 0.000 0.000
Ti 1.190 2.395 0.000
Ti 5.980 4.775 0.000
Ti 4.775 1.190 0.000
Ti 2.395 5.980 0.000

***

Entry 5:
! GGA-PBE Cu12S5Br3, relaxed; values from VASP
! E_form (uncorrected)	-45.5	meV/atom
! SG	No. 230
! total energy	-3.7860	eV per atom
&SYSTEM
  ibrav = 0, nat = 80, ntyp = 3
/
ATOMIC_SPECIES
Cu 63.55 Cu.upf
Br 79.90 Br.upf
S 32.06 S.upf
CELL_PARAMETERS angstrom
-7.798 2.710 9.266
-2.840 -11.141 -4.672
11.639 -0.164 4.303
ATOMIC_POSITIONS angstrom
Cu 6.380 -6.539 0.431
Cu 0.865 -1.771 1.097
Cu -8.842 -8.200 3.248
Cu 8.141 -4.931 1.610
Cu -5.515 1.000 6.167
Cu 3.084 1.053 12.056
Cu 3.114 -1.483 9.737
Cu 3.375 -7.658 -0.312
Cu -5.357 -7.654 4.730
Cu 6.059 -3.561 4.513
Cu -1.628 -4.992 4.171
Cu -4.966 -6.326 1.584
Cu 1.941 -4.558 9.650
Cu 2.629 -3.602 4.725
Cu 6.516 -9.594 2.730
Cu -3.643 -0.840 4.179
Cu 0.136 -6.823 7.799
Cu -3.120 -3.718 2.375
Cu -7.140 -3.663 7.286
Cu -0.303 1.558 10.350
Cu 4.614 -1.962 1.836
Cu -3.613 -6.632 7.061
Cu -2.113 -7.111 -0.841
Cu -0.158 -2.369 3.479
Cu 4.645 -7.754 4.718
Cu -2.245 1.381 6.167
Cu 0.240 0.966 5.311
Cu -5.058 -5.033 4.383
Cu 1.136 -4.947 2.383
Cu 3.738 -5.284 1.940
Cu 3.246 -9.975 2.730
Cu 5.968 -2.268 7.313
Cu -2.736 -3.310 6.956
Cu 1.299 -0.465 8.080
Cu 3.389 0.047 5.589
Cu -2.388 -8.641 3.307
Cu -5.379 -2.055 8.466
Cu 1.304 -10.152 -1.454
Cu -2.082 -9.648 -3.160
Cu 1.159 -6.225 5.417
Cu -2.373 -0.936 9.208
Cu 6.358 -0.940 4.167
Cu -0.940 -4.036 -0.753
Cu -0.297 -8.129 0.816
Cu 4.121 -4.876 6.522
Cu -0.135 -3.647 6.513
Cu 9.843 -0.394 5.648
Cu 0.761 -9.560 3.585
Br -7.498 -6.005 5.141
Br -4.268 0.938 8.599
Br 5.270 -9.532 0.297
Br -1.789 -5.988 1.630
Br 2.220 -7.441 2.660
Br 8.499 -2.590 3.755
Br 2.791 -2.607 7.266
Br 2.060 -0.776 3.346
Br -1.219 -1.153 6.237
Br -5.459 -2.166 5.735
Br 6.460 -6.429 3.161
Br -1.059 -7.818 5.550
S 5.450 -0.499 6.118
S -0.259 -0.516 9.629
S -3.899 1.355 4.633
S 1.921 1.273 6.784
S 4.400 -5.652 -0.185
S 3.981 0.497 10.130
S 4.260 -3.602 3.254
S 0.131 -4.714 8.415
S 0.000 0.000 0.000
S 3.181 -6.805 6.052
S 1.260 -8.078 -0.732
S 5.820 -0.082 2.151
S -4.449 -8.095 2.779
S -5.319 -4.215 2.297
S 0.870 -3.880 0.482
S 0.501 -4.297 4.448
S -2.980 -9.091 -1.234
S -2.179 -1.789 2.845
S -3.259 -4.992 5.643
S -1.420 -5.570 -2.336

***

Entry 6:
! GGA-PBE Li6TlCd2, relaxed; values from VASP
! energy of formation	-4.65	kcal/mol of atoms
! polymorph energy (0 for the lowest one)	0.000	eV per atom
! SG	No. 166
! total energy	-1.9439	eV per atom
&SYSTEM
  ibrav = 0, nat = 9, ntyp = 3
/
ATOMIC_SPECIES
Cd 112.41 Cd.upf
Li 6.94 Li.upf
Tl 204.38 Tl.upf
CELL_PARAMETERS angstrom
-5.009 -0.491 -2.237
-0.400 -4.656 2.918
-1.713 3.219 4.131
ATOMIC_POSITIONS angstrom
Cd -2.400 -0.650 1.621
Cd -4.723 -1.279 3.191
Li -3.123 -3.593 2.001
Li -2.459 0.273 4.531
Li -2.021 -2.353 4.126
Li -3.999 1.665 2.811
Li -5.101 0.425 0.686
Li -4.663 -2.201 0.281
Tl 0.000 0.000 0.000

***

Entry 7:
! GGA-PBE Ba3Re, relaxed; values from VASP
! energy of formation	19.30	kcal/mol of atoms
! polymorph energy (0 for the lowest one)	0.425	eV per atom
! SG	No. 63
! total energy	-3.7171	eV per atom
&SYSTEM
  ibrav = 0, nat = 8, ntyp = 2
/
ATOMIC_SPECIES
Ba 137.33 Ba.upf
Re 186.21 Re.upf
CELL_PARAMETERS angstrom
-5.951 7.689 -5.262
0.691 -4.417 10.111
2.863 2.970 1.102
ATOMIC_POSITIONS angstrom
Ba -0.098 0.556 2.892
Ba -2.577 2.098 5.178
Ba -2.300 5.686 3.059
Ba -2.201 6.995 -0.726
Ba 0.180 4.143 0.773
Ba -0.196 -0.753 6.677
Re -2.887 4.150 0.450
Re 0.489 2.091 5.501

***

Entry 8:
! GGA-PBE Tb2CePmSb4, relaxed; values from VASP
! E_form (uncorrected)	-1133.4	meV/atom
! SG	No. 10
! total energy	-5.6877	eV per atom
&SYSTEM
  ibrav = 0, nat = 8, ntyp = 4
/
ATOMIC_SPECIES
Pm 145.00 Pm.upf
Tb 158.93 Tb.upf
Sb 121.76 Sb.upf
Ce 140.12 Ce.upf
CELL_PARAMETERS angstrom
-2.990 -2.703 -1.879
4.330 -6.087 1.865
-2.059 -2.568 6.969
ATOMIC_POSITIONS angstrom
Pm 1.135 -4.327 4.417
Tb -2.059 -2.568 6.969
Tb -2.525 -2.635 2.545
Sb -2.447 -4.839 0.328
Sb 1.265 -6.582 2.192
Sb 1.728 -6.519 6.627
Sb -1.985 -4.775 4.763
Ce 0.670 -4.395 -0.007

***

Number 1: Fermi-level density of states 3.294 states/eV per cell, size of the total moment 0.00 μB per atom. Number 2: Fermi-level density of states 7.096 states/eV per cell, size of the total moment 0.38 μB per atom. Number 3: Fermi-level density of states 14.399 states/eV per cell, size of the total moment 0.00 μB per atom. Number 4: Fermi-level density of states 8.607 states/eV per cell, size of the total moment 0.00 μB per atom. Number 5: Fermi-level density of states 49.811 states/eV per cell, size of the total moment 0.00 μB per atom. Number 6: Fermi-level density of states 4.444 states/eV per cell, size of the total moment 0.00 μB per atom. Number 7: Fermi-level density of states 8.584 states/eV per cell, size of the total moment 0.02 μB per atom. Number 8: Fermi-level density of states 7.681 states/eV per cell, size of the total moment 0.09 μB per atom.